1.
Y2TaOs PBE relaxed; spin magnetization = 0.0 μB per cell; DOS(E_F) = 3.37 states/eV/cell; formation energy from the elements = 0.27 eV per atom; raw total energy = -34.938 eV per cell
1.0
3.343 0.000 0.000
0.000 3.343 0.000
0.000 0.000 7.877
Y Ta Os
2 1 1
direct
0.000 0.000 0.218
0.000 0.000 0.782
0.500 0.500 0.500
0.500 0.500 0.000

2.
SrSnGeRh3 PBE relaxed; spin magnetization = 0.0 μB per cell; DOS(E_F) = 9.26 states/eV/cell; formation energy from the elements = -0.37 eV per atom; raw total energy = -69.146 eV per cell
1.0
2.970 -7.744 0.000
2.970 7.744 0.000
0.000 0.000 5.956
Sr Sn Ge Rh
2 2 2 6
direct
0.244 0.756 0.750
0.756 0.244 0.250
0.101 0.899 0.250
0.899 0.101 0.750
0.420 0.580 0.250
0.580 0.420 0.750
0.252 0.252 0.000
0.252 0.252 0.500
0.267 0.733 0.250
0.733 0.267 0.750
0.748 0.748 0.000
0.748 0.748 0.500

3.
RbAs2PRu PBE relaxed; spin magnetization = 2.7 μB per cell; DOS(E_F) = 9.45 states/eV/cell; formation energy from the elements = 1.30 eV per atom; raw total energy = -18.431 eV per cell
1.0
4.818 0.000 0.000
0.000 4.818 0.000
0.000 0.000 5.779
Rb As P Ru
1 2 1 1
direct
0.000 0.000 0.000
0.000 0.500 0.500
0.500 0.000 0.500
0.000 0.000 0.500
0.500 0.500 0.000

4.
Cs2Li2Pd PBE relaxed; spin magnetization = 0.0 μB per cell; DOS(E_F) = 0.13 states/eV/cell; formation energy from the elements = 0.15 eV per atom; raw total energy = -19.925 eV per cell
1.0
7.540 0.000 0.000
0.000 7.540 0.000
0.000 0.000 6.119
Cs Li Pd
4 4 2
direct
0.197 0.303 0.000
0.303 0.803 0.000
0.697 0.197 0.000
0.803 0.697 0.000
0.170 0.670 0.500
0.330 0.170 0.500
0.670 0.830 0.500
0.830 0.330 0.500
0.000 0.000 0.500
0.500 0.500 0.500

5.
LiCa2Y PBE relaxed; spin magnetization = 0.0 μB per cell; DOS(E_F) = 5.13 states/eV/cell; formation energy from the elements = 0.17 eV per atom; raw total energy = -11.708 eV per cell
1.0
5.751 0.000 0.000
0.000 4.046 0.000
-0.036 0.000 5.818
Li Ca Y
1 2 1
direct
0.000 0.000 0.000
0.500 0.000 0.500
0.500 0.500 0.000
0.000 0.500 0.500

6.
CePm5Tl4 PBE relaxed; spin magnetization = 0.2 μB per cell; DOS(E_F) = 9.46 states/eV/cell; formation energy from the elements = -0.29 eV per atom; raw total energy = -42.042 eV per cell
1.0
3.646 0.000 0.000
0.000 3.646 0.000
0.000 0.000 22.257
Ce Pm Tl
1 5 4
direct
0.000 0.000 0.000
0.500 0.500 0.107
0.500 0.500 0.303
0.500 0.500 0.500
0.500 0.500 0.697
0.500 0.500 0.893
0.000 0.000 0.204
0.000 0.000 0.401
0.000 0.000 0.599
0.000 0.000 0.796

- Which formula does entry 6 have?
  CePm5Tl4